A relaxed structure of Li2YMoO6. Source: Alexandria, functional PBE with a Hubbard U.

Output
As for the space-group type: No. 14. Its magnetic moment is 1.0 μB per formula unit. The volume comes out at 231.7 Å³/cell. Its total energy is -135.20 eV/cell.

a b c (Å): 5.4685 5.3563 9.5851
angles (deg): 90.00 124.39 90.00
With the nearest neighbours (Å) after each atom.
Fractional coordinates of all 20 atoms:
Li (0.2034, 0.0260, 0.2398)  4 O 2.01-2.20
Li (0.2034, 0.4740, 0.7398)  4 O 2.01-2.20
Li (0.7966, 0.5260, 0.2602)  4 O 2.01-2.20
Li (0.7966, 0.9740, 0.7602)  4 O 2.01-2.20
Y (0.0000, 0.0000, 0.5000)  6 O 2.25-2.33
Y (0.0000, 0.5000, 0.0000)  6 O 2.25-2.33
Mo (0.5000, 0.0000, 0.0000)  6 O 1.91-1.99
Mo (0.5000, 0.5000, 0.5000)  6 O 1.91-1.99
O (0.1631, 0.0732, 0.7709)  1 Mo 1.95, 1 Li 2.02
O (0.1631, 0.4268, 0.2709)  1 Mo 1.95, 1 Li 2.02
O (0.2422, 0.6323, 0.5560)  1 Mo 1.91, 1 Li 2.07
O (0.2422, 0.8677, 0.0560)  1 Mo 1.91, 1 Li 2.07
O (0.4505, 0.1621, 0.5683)  1 Mo 1.99, 1 Li 2.01
O (0.4505, 0.3379, 0.0683)  1 Mo 1.99, 1 Li 2.01
O (0.5495, 0.6621, 0.9317)  1 Mo 1.99, 1 Li 2.01
O (0.5495, 0.8379, 0.4317)  1 Mo 1.99, 1 Li 2.01
O (0.7578, 0.1323, 0.9440)  1 Mo 1.91, 1 Li 2.07
O (0.7578, 0.3677, 0.4440)  1 Mo 1.91, 1 Li 2.07
O (0.8369, 0.5732, 0.7291)  1 Mo 1.95, 1 Li 2.02
O (0.8369, 0.9268, 0.2291)  1 Mo 1.95, 1 Li 2.02